Entry 1:
Below is crystalline InCu4Au3 at its relaxed geometry, with properties calculated at the PBE level.

Summary:
**SG**: Pmma, No. 51
**Magnetic moment**: 0.000 μB/atom

Cell lengths 9.180, 5.745, 4.706 Å; angles 90.00, 90.00, 90.00 degrees
Element x y z (fractional)
1 In 0.000 0.000 0.000
2 In 0.500 0.000 0.000
3 Cu 0.000 0.256 0.500
4 Cu 0.000 0.744 0.500
5 Cu 0.250 0.257 0.125
6 Cu 0.250 0.743 0.125
7 Cu 0.500 0.256 0.500
8 Cu 0.500 0.744 0.500
9 Cu 0.750 0.257 0.875
10 Cu 0.750 0.743 0.875
11 Au 0.000 0.500 0.000
12 Au 0.250 0.000 0.608
13 Au 0.250 0.500 0.614
14 Au 0.500 0.500 0.000
15 Au 0.750 0.000 0.392
16 Au 0.750 0.500 0.386

***

Entry 2:
Below is crystalline InCu2Au at its relaxed geometry, with properties calculated at the PBE level.

Summary:
**SG**: Cm, No. 8
**Magnetic moment**: 0.000 μB/atom

Cell lengths 5.099, 5.099, 4.560 Å; angles 109.50, 109.50, 35.15 degrees
Element x y z (fractional)
1 In 0.000 0.000 0.000
2 Cu 0.242 0.242 0.808
3 Cu 0.528 0.528 0.516
4 Au 0.777 0.777 0.339

***

Entry 3:
Below is crystalline InCu6Au8 at its relaxed geometry, with properties calculated at the PBE level.

Summary:
**SG**: R-3, No. 148
**Magnetic moment**: 0.000 μB/atom

Cell lengths 6.423, 6.423, 6.423 Å; angles 82.00, 82.00, 82.00 degrees
Element x y z (fractional)
1 In 0.000 0.000 0.000
2 Cu 0.225 0.571 0.427
3 Cu 0.427 0.225 0.571
4 Cu 0.429 0.573 0.775
5 Cu 0.571 0.427 0.225
6 Cu 0.573 0.775 0.429
7 Cu 0.775 0.429 0.573
8 Au 0.084 0.400 0.810
9 Au 0.190 0.916 0.600
10 Au 0.228 0.228 0.228
11 Au 0.400 0.810 0.084
12 Au 0.600 0.190 0.916
13 Au 0.772 0.772 0.772
14 Au 0.810 0.084 0.400
15 Au 0.916 0.600 0.190

***

Entry 4:
Below is crystalline InCuAu3 at its relaxed geometry, with properties calculated at the PBE level.

Summary:
**SG**: Pm-3m, No. 221
**Magnetic moment**: 0.000 μB/atom
**Polymorph energy (0 for the lowest one)**: 420 meV/atom

Cell lengths 4.859, 4.859, 4.859 Å; angles 90.00, 90.00, 90.00 degrees
Element x y z (fractional)
1 In 0.000 0.000 0.000
2 Cu 0.500 0.500 0.500
3 Au 0.000 0.500 0.500
4 Au 0.500 0.000 0.500
5 Au 0.500 0.500 0.000

***

Entry 5:
Below is crystalline InCu2Au8 at its relaxed geometry, with properties calculated at the PBE level.

Summary:
**SG**: C2/m, No. 12
**Magnetic moment**: 0.000 μB/atom

Cell lengths 7.511, 7.511, 6.667 Å; angles 108.07, 108.07, 32.66 degrees
Element x y z (fractional)
1 In 0.000 0.000 0.000
2 Cu 0.276 0.276 0.359
3 Cu 0.724 0.724 0.641
4 Au 0.104 0.104 0.465
5 Au 0.182 0.182 0.925
6 Au 0.351 0.351 0.786
7 Au 0.452 0.452 0.276
8 Au 0.548 0.548 0.724
9 Au 0.649 0.649 0.214
10 Au 0.818 0.818 0.075
11 Au 0.896 0.896 0.535

***

Entry 6:
Below is crystalline InCu6Au12 at its relaxed geometry, with properties calculated at the PBE level.

Summary:
**SG**: R-3, No. 148
**Magnetic moment**: 0.000 μB/atom

Cell lengths 7.215, 7.215, 7.215 Å; angles 103.30, 103.30, 103.30 degrees
Element x y z (fractional)
1 In 0.000 0.000 0.000
2 Cu 0.181 0.431 0.256
3 Cu 0.256 0.181 0.431
4 Cu 0.431 0.256 0.181
5 Cu 0.569 0.744 0.819
6 Cu 0.744 0.819 0.569
7 Cu 0.819 0.569 0.744
8 Au 0.028 0.159 0.679
9 Au 0.159 0.679 0.028
10 Au 0.184 0.531 0.635
11 Au 0.321 0.972 0.841
12 Au 0.365 0.816 0.469
13 Au 0.469 0.365 0.816
14 Au 0.531 0.635 0.184
15 Au 0.635 0.184 0.531
16 Au 0.679 0.028 0.159
17 Au 0.816 0.469 0.365
18 Au 0.841 0.321 0.972
19 Au 0.972 0.841 0.321

***

Entry 7:
Below is crystalline In2Cu3Au8 at its relaxed geometry, with properties calculated at the PBE level.

Summary:
**SG**: C2/m, No. 12
**Magnetic moment**: 0.000 μB/atom
**Polymorph energy (0 for the lowest one)**: 56 meV/atom

Cell lengths 7.278, 7.278, 5.379 Å; angles 95.84, 95.84, 60.20 degrees
Element x y z (fractional)
1 In 0.211 0.211 0.297
2 In 0.789 0.789 0.703
3 Cu 0.000 0.000 0.500
4 Cu 0.172 0.828 0.000
5 Cu 0.828 0.172 0.000
6 Au 0.172 0.172 0.802
7 Au 0.204 0.584 0.559
8 Au 0.392 0.392 0.040
9 Au 0.416 0.796 0.441
10 Au 0.584 0.204 0.559
11 Au 0.608 0.608 0.960
12 Au 0.796 0.416 0.441
13 Au 0.828 0.828 0.198

***

Entry 8:
Below is crystalline InCu2Au at its relaxed geometry, with properties calculated at the PBE level.

Summary:
**SG**: R-3m, No. 166
**Magnetic moment**: 0.000 μB/atom

Cell lengths 8.325, 8.325, 8.325 Å; angles 21.51, 21.51, 21.51 degrees
Element x y z (fractional)
1 In 0.000 0.000 0.000
2 Cu 0.248 0.248 0.248
3 Cu 0.752 0.752 0.752
4 Au 0.500 0.500 0.500

***

Number 1: E_form -0.053 eV/atom. Number 2: E_form -0.025 eV/atom. Number 3: E_form 0.056 eV/atom. Number 4: E_form 0.330 eV/atom. Number 5: E_form -0.050 eV/atom. Number 6: E_form 0.080 eV/atom. Number 7: E_form 0.014 eV/atom. Number 8: E_form 0.151 eV/atom.